(1)
## MgBe2Re2 (PBE-GGA)

Data for crystalline MgBe2Re2 at its relaxed geometry.

Properties
* energy above the lowest structure with this stoichiometry: 321.6 meV/atom
* volume: 71.38 Å³/cell
* energy: -32.09 eV for the cell shown
* spin magnetization: 0.00 μB per atom

Lattice parameters (Å, degrees): 4.9468 4.9468 4.9468 128.90 128.90 75.17
Last column: nearest neighbours and their distance in Å.
Sites, in units of the cell vectors:
Mg1 0.0000 0.0000 0.0000  2 Re 2.73, 8 Be 2.90
Be1 0.2500 0.7500 0.5000  4 Re 2.27
Be2 0.7500 0.2500 0.5000  4 Re 2.27
Re1 0.3481 0.3481 0.0000  4 Be 2.27, 1 Re 2.38
Re2 0.6519 0.6519 0.0000  4 Be 2.27, 1 Re 2.38

(2)
## Zr2ScCo (PBE-GGA)

Data for crystalline Zr2ScCo at its relaxed geometry.

Properties
* energy above the lowest structure with this stoichiometry: 317.7 meV/atom
* volume: 75.32 Å³/cell
* energy: -30.05 eV for the cell shown
* spin magnetization: 0.00 μB per atom

Lattice parameters (Å, degrees): 4.7403 4.7403 4.7403 60.00 60.00 60.00
Last column: nearest neighbours and their distance in Å.
Sites, in units of the cell vectors:
Zr1 0.2500 0.2500 0.2500  4 Co 2.90, 4 Sc 2.90
Zr2 0.7500 0.7500 0.7500  4 Co 2.90, 4 Sc 2.90
Sc1 0.0000 0.0000 0.0000  8 Zr 2.90
Co1 0.5000 0.5000 0.5000  8 Zr 2.90

(3)
## Pu6ZnRu5 (PBE-GGA)

Data for crystalline Pu6ZnRu5 at its relaxed geometry.

Properties
* volume: 237.12 Å³/cell
* energy: -135.03 eV for the cell shown
* spin magnetization: 2.31 μB per atom

Lattice parameters (Å, degrees): 8.3840 8.3840 4.8851 106.87 106.87 46.71
Last column: nearest neighbours and their distance in Å.
Sites, in units of the cell vectors:
Pu1 0.0754 0.5839 0.3289  7 Ru 2.91-2.98, 1 Zn 3.01
Pu2 0.2407 0.7593 0.0000  6 Ru 2.92-2.96, 2 Zn 2.99, 1 Pu 3.20
Pu3 0.4161 0.9246 0.6711  7 Ru 2.91-2.98, 1 Zn 3.01
Pu4 0.5839 0.0754 0.3289  7 Ru 2.91-2.98, 1 Zn 3.01
Pu5 0.7593 0.2407 0.0000  6 Ru 2.92-2.96, 2 Zn 2.99, 1 Pu 3.20
Pu6 0.9246 0.4161 0.6711  7 Ru 2.91-2.98, 1 Zn 3.01
Zn1 0.5000 0.5000 0.5000  8 Pu 2.99-3.01, 2 Ru 3.32
Ru1 0.0000 0.0000 0.5000  8 Pu 2.92-2.98
Ru2 0.1676 0.1676 0.1688  8 Pu 2.91-2.94
Ru3 0.3351 0.3351 0.8338  8 Pu 2.91-2.97
Ru4 0.6649 0.6649 0.1662  8 Pu 2.91-2.97
Ru5 0.8324 0.8324 0.8312  8 Pu 2.91-2.94

Repeat the first record exactly.
## MgBe2Re2 (PBE-GGA)

Data for crystalline MgBe2Re2 at its relaxed geometry.

Properties
* energy above the lowest structure with this stoichiometry: 321.6 meV/atom
* volume: 71.38 Å³/cell
* energy: -32.09 eV for the cell shown
* spin magnetization: 0.00 μB per atom

Lattice parameters (Å, degrees): 4.9468 4.9468 4.9468 128.90 128.90 75.17
Last column: nearest neighbours and their distance in Å.
Sites, in units of the cell vectors:
Mg1 0.0000 0.0000 0.0000  2 Re 2.73, 8 Be 2.90
Be1 0.2500 0.7500 0.5000  4 Re 2.27
Be2 0.7500 0.2500 0.5000  4 Re 2.27
Re1 0.3481 0.3481 0.0000  4 Be 2.27, 1 Re 2.38
Re2 0.6519 0.6519 0.0000  4 Be 2.27, 1 Re 2.38